1.
La2TaCd: optimized geometry, GGA-PBE.

formation enthalpy at 0 K	0.3144	eV/atom
VASP energy	-21.4	eV for the cell shown

a = 5.8498 Å, b = 5.8498 Å, c = 5.8498 Å
α = 132.80°, β = 132.80°, γ = 68.97°
Sites, in units of the cell vectors:
Cd1 0.7500 0.2500 0.5000
La1 0.0000 0.0000 0.0000
La2 0.2500 0.7500 0.5000
Ta1 0.5000 0.5000 0.0000

2.
LaTa2Cd: optimized geometry, GGA-PBE.

formation enthalpy at 0 K	0.4505	eV/atom
VASP energy	-27.7	eV for the cell shown

a = 5.0123 Å, b = 5.0125 Å, c = 5.0082 Å
α = 120.00°, β = 120.00°, γ = 90.07°
Sites, in units of the cell vectors:
La1 0.2502 0.7498 0.5000
Ta1 0.0001 0.0002 0.0000
Ta2 0.7499 0.2502 0.5000
Cd1 0.5000 0.4999 0.0000

3.
LaTaCd3: optimized geometry, GGA-PBE.

formation enthalpy at 0 K	0.6012	eV/atom
energy above the most stable polymorph in this dataset	0.000	eV per atom
VASP energy	-16.5	eV for the cell shown

a = 5.3234 Å, b = 5.3234 Å, c = 5.3234 Å
α = 90.00°, β = 90.00°, γ = 90.00°
Last column: magnetic moment on the atom in μB.
Sites, in units of the cell vectors:
Cd1 0.0000 0.5000 0.0000  0.08
Cd2 0.0000 0.0000 0.5000  0.04
Cd3 0.5000 0.0000 0.0000  0.07
La1 0.5000 0.5000 0.5000  0.02
Ta1 0.0000 0.0000 0.0000  0.78

4.
La2TaCd: optimized geometry, GGA-PBE.

formation enthalpy at 0 K	0.2481	eV/atom
VASP energy	-21.6	eV for the cell shown

a = 6.7689 Å, b = 6.7689 Å, c = 6.7689 Å
α = 151.20°, β = 131.45°, γ = 57.43°
Sites, in units of the cell vectors:
Cd1 0.2820 0.7820 0.5000
La1 0.0173 0.0173 0.0000
La2 0.7191 0.2191 0.5000
Ta1 0.4816 0.4816 0.0000